# Nd12Sm2Dy7 GGA-PBE relaxed
data_Nd12Sm2Dy7
_chemical_formula_sum 'Nd12 Sm2 Dy7'
_symmetry_space_group_name_H-M 'P 1'
_symmetry_Int_Tables_number 1
_cell_length_a 15.1452
_cell_length_b 15.1452
_cell_length_c 3.5914
_cell_angle_alpha 90.00
_cell_angle_beta 90.00
_cell_angle_gamma 120.00
loop_
_symmetry_equiv_pos_as_xyz
'x,y,z'
loop_
_atom_site_label
_atom_site_type_symbol
_atom_site_fract_x
_atom_site_fract_y
_atom_site_fract_z
_atom_site_occupancy
Nd1 Nd 0.0516 0.2546 0.0000 1
Nd2 Nd 0.1266 0.7119 0.5000 1
Nd3 Nd 0.2030 0.9484 0.0000 1
Nd4 Nd 0.2881 0.4147 0.5000 1
Nd5 Nd 0.4141 0.1510 0.5000 1
Nd6 Nd 0.4952 0.3976 0.0000 1
Nd7 Nd 0.5853 0.8734 0.5000 1
Nd8 Nd 0.6024 0.0976 0.0000 1
Nd9 Nd 0.7369 0.5859 0.5000 1
Nd10 Nd 0.7454 0.7970 0.0000 1
Nd11 Nd 0.8490 0.2631 0.5000 1
Nd12 Nd 0.9024 0.5048 0.0000 1
Sm1 Sm 0.0000 0.0000 0.5000 1
Sm2 Sm 0.3333 0.6667 0.0000 1
Dy1 Dy 0.0992 0.4789 0.5000 1
Dy2 Dy 0.2316 0.1863 0.0000 1
Dy3 Dy 0.3796 0.9008 0.5000 1
Dy4 Dy 0.5211 0.6204 0.5000 1
Dy5 Dy 0.6667 0.3333 0.5000 1
Dy6 Dy 0.8137 0.0453 0.0000 1
Dy7 Dy 0.9547 0.7684 0.0000 1
# calculated density: 7.4 Mg/m³
# size of the total moment: 0.000 Bohr magnetons per cell
# formation energy from the elements: 0.04 eV per atom
# raw total energy: -4.66 eV per atom
# space-group type: P-6